No. 1
! SrLa2Ir2 | Alexandria via LeMat-Bulk | PBE | relaxed; values from VASP
! size of the total moment: 0.00 μB/f.u.
! ΔE_f: -251 meV per atom
! offset from the most stable computed form: 1.18 eV/f.u.
! symmetry: I4/mmm
! energy: -30.51 eV per formula unit
&SYSTEM
  ibrav = 0, nat = 10, ntyp = 3
/
ATOMIC_SPECIES
Sr 87.62 Sr.upf
La 138.91 La.upf
Ir 192.22 Ir.upf
ATOMIC_POSITIONS crystal
Sr 0.000 0.000 0.000
Sr 0.500 0.500 0.500
La 0.000 0.000 0.331
La 0.000 0.000 0.669
La 0.500 0.500 0.169
La 0.500 0.500 0.831
Ir 0.000 0.500 0.250
Ir 0.000 0.500 0.750
Ir 0.500 0.000 0.250
Ir 0.500 0.000 0.750
CELL_PARAMETERS angstrom
5.288 0.000 0.000
0.000 5.288 0.000
0.000 0.000 11.078

***

No. 2
! PrYCdAg | Alexandria via LeMat-Bulk | PBE | relaxed; values from VASP
! size of the total moment: 0.00 μB/f.u.
! ΔE_f: -292 meV per atom
! offset from the most stable computed form: 0.05 eV/f.u.
! symmetry: F-43m
! energy: -16.18 eV per formula unit
&SYSTEM
  ibrav = 0, nat = 16, ntyp = 4
/
ATOMIC_SPECIES
Pr 140.91 Pr.upf
Y 88.91 Y.upf
Cd 112.41 Cd.upf
Ag 107.87 Ag.upf
ATOMIC_POSITIONS crystal
Pr 0.000 0.000 0.000
Pr 0.000 0.500 0.500
Pr 0.500 0.000 0.500
Pr 0.500 0.500 0.000
Y 0.000 0.000 0.500
Y 0.000 0.500 0.000
Y 0.500 0.000 0.000
Y 0.500 0.500 0.500
Cd 0.250 0.250 0.250
Cd 0.250 0.750 0.750
Cd 0.750 0.250 0.750
Cd 0.750 0.750 0.250
Ag 0.250 0.250 0.750
Ag 0.250 0.750 0.250
Ag 0.750 0.250 0.250
Ag 0.750 0.750 0.750
CELL_PARAMETERS angstrom
7.540 0.000 0.000
0.000 7.540 0.000
0.000 0.000 7.540

***

No. 3
! RbTlPd2 | Alexandria via LeMat-Bulk | PBE | relaxed; values from VASP
! size of the total moment: 0.00 μB/f.u.
! ΔE_f: -149 meV per atom
! offset from the most stable computed form: 0.08 eV/f.u.
! symmetry: Pmmn
! energy: -14.31 eV per formula unit
&SYSTEM
  ibrav = 0, nat = 8, ntyp = 3
/
ATOMIC_SPECIES
Rb 85.47 Rb.upf
Tl 204.38 Tl.upf
Pd 106.42 Pd.upf
ATOMIC_POSITIONS crystal
Rb 0.250 0.250 0.103
Rb 0.750 0.750 0.897
Tl 0.250 0.750 0.394
Tl 0.750 0.250 0.606
Pd 0.250 0.070 0.577
Pd 0.250 0.430 0.577
Pd 0.750 0.570 0.423
Pd 0.750 0.930 0.423
CELL_PARAMETERS angstrom
4.721 0.000 0.000
0.000 7.888 0.000
0.000 0.000 6.480

***

No. 4
! LiSc2FeGe | Alexandria via LeMat-Bulk | PBE | relaxed; values from VASP
! size of the total moment: 0.95 μB/f.u.
! ΔE_f: 444 meV per atom
! symmetry: P4/mmm
! energy: -25.43 eV per formula unit
&SYSTEM
  ibrav = 0, nat = 5, ntyp = 4
/
ATOMIC_SPECIES
Li 6.94 Li.upf
Sc 44.96 Sc.upf
Fe 55.84 Fe.upf
Ge 72.64 Ge.upf
ATOMIC_POSITIONS crystal
Li 0.000 0.000 0.000
Sc 0.000 0.500 0.000
Sc 0.500 0.000 0.000
Fe 0.000 0.000 0.500
Ge 0.500 0.500 0.500
CELL_PARAMETERS angstrom
4.743 0.000 0.000
0.000 4.743 0.000
0.000 0.000 3.997